A relaxed structure of NdSm3Sc3. Source: Alexandria via LeMat-Bulk, functional PBE-GGA.

Summary:
magnetization	0.0	Bohr magnetons per cell
energy above the most stable polymorph in this dataset	70	meV per atom
E	-36.2	eV for the cell shown

```
7
Lattice="5.382 3.107 2.189 -5.382 3.107 2.189 0.000 -6.214 2.189" Properties=species:S:1:pos:R:3 pbc="T T T"
Nd 0.000 0.000 0.000
Sm -2.383 -1.376 2.761
Sm 2.383 -1.376 2.761
Sm 0.000 2.752 2.761
Sc 0.000 -3.097 1.539
Sc -2.682 1.549 1.539
Sc 2.682 1.549 1.539
```